[1]
Cd3GeO4: relaxed, GGA-PBE.

Unit cell a=5.649 b=6.075 c=7.381 alpha=90.00 beta=90.00 gamma=90.00
Fractional positions:
O  0.613  0.748  0.306
O  0.588  0.176  0.500
O  0.613  0.748  0.694
O  0.681  0.114  0.000
O  0.113  0.252  0.806
O  0.181  0.886  0.500
O  0.088  0.824  0.000
O  0.113  0.252  0.194
Cd  0.505  0.769  0.000
Cd  0.507  0.355  0.217
Cd  0.007  0.645  0.717
Cd  0.007  0.645  0.283
Cd  0.005  0.231  0.500
Cd  0.507  0.355  0.783
Ge  0.500  0.888  0.500
Ge  0.000  0.112  0.000

theoretical density: 6.2 g cm⁻³
D(E_F): 0.154 states/eV/f.u.
raw formation energy: -1103 meV per atom
DFT total energy: -4.503 eV per atom
size of the total moment: 0.000 μB/f.u.

***

[2]
NaSiSn2: relaxed, GGA-PBE.

Unit cell a=3.829 b=3.829 c=8.711 alpha=77.30 beta=77.30 gamma=60.00
Fractional positions:
Sn  0.065  0.065  0.804
Sn  0.268  0.268  0.197
Na  0.501  0.501  0.498
Si  0.666  0.666  0.001

theoretical density: 4.5 g cm⁻³
D(E_F): 1.732 states/eV/f.u.
raw formation energy: 99 meV per atom
DFT total energy: -3.588 eV per atom
size of the total moment: 0.000 μB/f.u.

***

[3]
ReTeMo2: relaxed, GGA-PBE.

Unit cell a=5.008 b=5.008 c=4.756 alpha=74.74 beta=74.74 gamma=36.58
Fractional positions:
Te  0.246  0.246  0.211
Mo  0.768  0.768  0.682
Mo  0.992  0.992  0.049
Re  0.495  0.495  0.557

theoretical density: 12.3 g cm⁻³
D(E_F): 3.396 states/eV/f.u.
raw formation energy: 412 meV per atom
DFT total energy: -8.901 eV per atom
size of the total moment: 0.000 μB/f.u.

***

[4]
RbGaHg2Se: relaxed, GGA-PBE.

Unit cell a=5.450 b=5.450 c=5.424 alpha=90.00 beta=90.00 gamma=90.00
Fractional positions:
Hg  0.500  0.000  0.000
Hg  0.000  0.500  0.000
Ga  0.000  0.000  0.000
Se  0.000  0.000  0.500
Rb  0.500  0.500  0.500

theoretical density: 6.5 g cm⁻³
D(E_F): 1.216 states/eV/f.u.
raw formation energy: -336 meV per atom
DFT total energy: -1.952 eV per atom
size of the total moment: 0.000 μB/f.u.

***

[5]
SrTc4B4: relaxed, GGA-PBE.

Unit cell a=4.224 b=7.494 c=7.494 alpha=90.00 beta=90.00 gamma=90.00
Fractional positions:
B  0.869  0.328  0.812
B  0.631  0.828  0.312
B  0.631  0.172  0.688
B  0.131  0.812  0.672
B  0.869  0.672  0.188
B  0.369  0.688  0.828
B  0.131  0.188  0.328
B  0.369  0.312  0.172
Sr  0.500  0.500  0.500
Sr  0.000  0.000  0.000
Tc  0.366  0.368  0.876
Tc  0.866  0.376  0.132
Tc  0.134  0.132  0.624
Tc  0.634  0.876  0.632
Tc  0.866  0.624  0.868
Tc  0.634  0.124  0.368
Tc  0.134  0.868  0.376
Tc  0.366  0.632  0.124

theoretical density: 7.3 g cm⁻³
D(E_F): 4.353 states/eV/f.u.
energy relative to the elements: -0.2736 eV/atom
DFT total energy: -8.035 eV per atom
size of the total moment: 0.000 μB/f.u.

***

[6]
NiBCl2: relaxed, GGA-PBE.

Unit cell a=4.647 b=4.647 c=6.900 alpha=70.33 beta=70.33 gamma=90.00
Fractional positions:
Cl  0.142  0.625  0.250
Cl  0.608  0.125  0.250
Cl  0.875  0.858  0.750
Cl  0.375  0.392  0.750
Ni  0.750  0.250  0.500
Ni  0.000  0.000  0.000
B  0.250  0.750  0.500
B  0.500  0.500  0.000

theoretical density: 3.6 g cm⁻³
D(E_F): 1.476 states/eV/f.u.
raw formation energy: 821 meV per atom
DFT total energy: -3.217 eV per atom
size of the total moment: 0.000 μB/f.u.